Entry from Alexandria: crystalline MgCd2Hg5Pb2 at its relaxed geometry (GGA-PBE).

Results
Electronic total energy = -12.3 eV/f.u.
Formation enthalpy at 0 K = 0.0072 eV per atom

Cell: 11.972 11.972 3.595 Å, 90.00 90.00 90.00°
Positions (direct):
Mg 0.000 0.000 0.000
Mg 0.500 0.500 0.000
Cd 0.144 0.356 0.000
Cd 0.356 0.856 0.000
Cd 0.644 0.144 0.000
Cd 0.856 0.644 0.000
Hg 0.000 0.500 0.500
Hg 0.027 0.193 0.500
Hg 0.193 0.973 0.500
Hg 0.307 0.473 0.500
Hg 0.473 0.693 0.500
Hg 0.500 0.000 0.500
Hg 0.527 0.307 0.500
Hg 0.693 0.527 0.500
Hg 0.807 0.027 0.500
Hg 0.973 0.807 0.500
Pb 0.170 0.670 0.000
Pb 0.330 0.170 0.000
Pb 0.670 0.830 0.000
Pb 0.830 0.330 0.000